[1]
Below is Dy2MnMoN5 after structural relaxation, with properties calculated at the PBE level.

a b c (Å): 7.0026 7.0026 9.7654
angles (deg): 90.00 90.00 153.66
With the nearest neighbours (Å) after each atom.
Fractional positions:
Dy 0.1203 0.8797 0.5000  8 N 2.45-2.59
Dy 0.1299 0.8701 0.1306  7 N 2.41-2.61
Dy 0.8701 0.1299 0.6306  7 N 2.41-2.61
Dy 0.8797 0.1203 0.0000  8 N 2.45-2.59
Mn 0.4478 0.5522 0.2588  4 N 1.75-1.93
Mn 0.5522 0.4478 0.7588  4 N 1.75-1.93
Mo 0.2030 0.7970 0.8296  3 N 1.90-2.12
Mo 0.7970 0.2030 0.3296  3 N 1.90-2.12
N 0.0308 0.9692 0.8386  2 Mn 1.80
N 0.3009 0.6991 0.4723  2 Mo 2.12
N 0.3181 0.6819 0.1802  1 Mn 1.93
N 0.3417 0.6583 0.8168  1 Mo 1.90
N 0.4986 0.5014 0.0941  1 Mn 1.75
N 0.5014 0.4986 0.5941  1 Mn 1.75
N 0.6583 0.3417 0.3168  1 Mo 1.90
N 0.6819 0.3181 0.6802  1 Mn 1.93
N 0.6991 0.3009 0.9723  2 Mo 2.12
N 0.9692 0.0308 0.3386  2 Mn 1.80

Results
- volume (Å³/cell) = 212.5
- DOS at the Fermi energy (states/eV per atom) = 0.363
- mass density (kg/m³) = 8534
- crystal system = orthorhombic
- ΔE_f (raw) (eV/atom) = -0.863

[2]
Below is LaZn2FeH8 after structural relaxation, with properties calculated at the PBE level.

a b c (Å): 4.3904 4.8595 5.0023
angles (deg): 98.37 91.34 91.33
With the nearest neighbours (Å) after each atom.
Fractional positions:
La 0.0000 0.0000 0.0000  10 H 2.39-2.62
Zn 0.4911 0.3857 0.7208  2 H 1.66-1.81
Zn 0.5089 0.6143 0.2792  2 H 1.66-1.81
Fe 0.0000 0.5000 0.5000  6 H 1.58-1.61
H 0.1165 0.5037 0.1970  1 Fe 1.61
H 0.1424 0.2039 0.5034  1 Fe 1.58
H 0.2695 0.7018 0.6331  1 Fe 1.59
H 0.4999 0.0808 0.8331  1 Zn 1.66
H 0.5001 0.9192 0.1669  1 Zn 1.66
H 0.7305 0.2982 0.3669  1 Fe 1.59
H 0.8576 0.7961 0.4966  1 Fe 1.58
H 0.8835 0.4963 0.8030  1 Fe 1.61

Results
- volume (Å³/cell) = 105.5
- DOS at the Fermi energy (states/eV per atom) = 0.162
- mass density (kg/m³) = 5250
- crystal system = triclinic
- calculated total energy (eV per atom) = -3.7543

[3]
Below is La7Tb3Dy2 after structural relaxation, with properties calculated at the PBE level.

a b c (Å): 6.5484 3.5826 17.8337
angles (deg): 90.00 95.64 90.00
With the nearest neighbours (Å) after each atom.
Fractional positions:
La 0.0000 0.0000 0.0000  8 La 3.58-3.74, 4 Tb 3.73
La 0.2249 0.5000 0.1726  1 Dy 3.52, 8 La 3.58-3.74, 3 Tb 3.65-3.72
La 0.2616 0.5000 0.4908  2 La 3.11-3.47, 1 Dy 3.37
La 0.2759 0.0000 0.8318  7 La 3.58-3.74, 2 Dy 3.58, 3 Tb 3.63-3.67
La 0.7241 0.0000 0.1682  7 La 3.58-3.74, 2 Dy 3.58, 3 Tb 3.63-3.67
La 0.7384 0.5000 0.5092  2 La 3.11-3.47, 1 Dy 3.37
La 0.7751 0.5000 0.8274  1 Dy 3.52, 8 La 3.58-3.74, 3 Tb 3.65-3.72
Tb 0.4571 0.0000 0.3375  2 Tb 3.58, 7 La 3.61-3.86, 4 Dy 3.66-3.81
Tb 0.5000 0.5000 0.0000  2 Tb 3.58, 10 La 3.67-3.73
Tb 0.5429 0.0000 0.6625  2 Tb 3.58, 7 La 3.61-3.86, 4 Dy 3.66-3.81
Dy 0.0577 0.5000 0.6693  5 La 3.37-3.58, 2 Dy 3.58, 2 Tb 3.66
Dy 0.9423 0.5000 0.3307  5 La 3.37-3.58, 2 Dy 3.58, 2 Tb 3.66

Results
- volume (Å³/cell) = 416.4
- DOS at the Fermi energy (states/eV per atom) = 1.430
- mass density (kg/m³) = 7076
- crystal system = monoclinic
- calculated total energy (eV per atom) = -4.7333

[4]
Below is KY2Cu after structural relaxation, with properties calculated at the PBE level.

a b c (Å): 6.3644 6.3644 6.3644
angles (deg): 137.65 137.65 61.44
With the nearest neighbours (Å) after each atom.
Fractional positions:
K 0.0000 0.0000 0.0000  8 Y 3.25-3.57, 4 Cu 3.57
Y 0.2500 0.7500 0.5000  4 Cu 3.25, 4 K 3.57, 4 Y 3.57
Y 0.5000 0.5000 0.0000  4 K 3.25, 4 Cu 3.57, 4 Y 3.57
Cu 0.7500 0.2500 0.5000  8 Y 3.25-3.57, 4 K 3.57

Results
- volume (Å³/cell) = 115.7
- DOS at the Fermi energy (states/eV per atom) = 1.206
- mass density (kg/m³) = 4026
- crystal system = tetragonal
- ΔE to the lowest computed polymorph (meV/atom) = 500